[1]
A plane-wave DFT calculation with GGA-PBE was carried out for a relaxed structure of BeTcAu2.

Results
For the calculated formation energy, the calculation gives 0.196 eV/atom. As for the crystal system: trigonal.

Lattice parameters (Å, degrees): 2.8145 2.8145 26.3301 90.00 90.00 120.00
Space group R3m (No. 160, hexagonal axes)
Inequivalent atoms, fractional coordinates:
Be 0.0000 0.0000 0.0000 x3
Tc 0.0000 0.0000 0.7377 x3
Au 0.0000 0.0000 0.2601 x3
Au 0.0000 0.0000 0.4943 x3

=====

[2]
A plane-wave DFT calculation with GGA-PBE was carried out for a relaxed structure of Tc4OsSe.

Results
As for the crystal system: cubic. The energy relative to the elements, uncorrected comes out at 793 meV per atom.

Lattice parameters (Å, degrees): 7.248 7.248 7.248 90.00 90.00 90.00
Space group F-43m (No. 216)
Inequivalent atoms, fractional coordinates:
Tc 0.125 0.125 0.125 x16
Os 0.250 0.250 0.750 x4
Se 0.000 0.000 0.500 x4

=====

[3]
A plane-wave DFT calculation with GGA-PBE was carried out for a relaxed structure of NaIF4.

Results
As for the crystal system: orthorhombic. The energy relative to the elements, uncorrected comes out at -1656 meV per atom.

Lattice parameters (Å, degrees): 6.455 4.474 6.686 90.00 90.00 90.00
Space group Pmn2_1 (No. 31)
Inequivalent atoms, fractional coordinates:
Na 0.000 0.033 0.000 x2
I 0.000 0.498 0.572 x2
F 0.000 0.296 0.308 x2
F 0.000 0.545 0.871 x2
F 0.186 0.112 0.661 x4

=====

[4]
A plane-wave DFT calculation with GGA-PBE was carried out for a relaxed structure of CdIn3S.

Results
As for the crystal system: cubic. The energy relative to the elements, uncorrected comes out at 353 meV per atom.

Lattice parameters (Å, degrees): 5.434 5.434 5.434 90.00 90.00 90.00
Space group Pm-3m (No. 221)
Inequivalent atoms, fractional coordinates:
Cd 0.000 0.000 0.000 x1
In 0.000 0.000 0.500 x3
S 0.500 0.500 0.500 x1

=====

[5]
A plane-wave DFT calculation with GGA-PBE was carried out for a relaxed structure of K2LaTaTe.

Results
As for the crystal system: tetragonal. The energy relative to the elements, uncorrected comes out at 845 meV per atom.

Lattice parameters (Å, degrees): 6.198 6.198 6.213 90.00 90.00 90.00
Space group P4/mmm (No. 123)
Inequivalent atoms, fractional coordinates:
K 0.000 0.500 0.000 x2
La 0.000 0.000 0.500 x1
Ta 0.500 0.500 0.500 x1
Te 0.000 0.000 0.000 x1

=====

[6]
A plane-wave DFT calculation with GGA-PBE was carried out for a relaxed structure of CaGa3Si.

Results
As for the crystal system: cubic. The energy relative to the elements, uncorrected comes out at 1072 meV per atom.

Lattice parameters (Å, degrees): 5.446 5.446 5.446 90.00 90.00 90.00
Space group Pm-3m (No. 221)
Inequivalent atoms, fractional coordinates:
Ca 0.000 0.000 0.000 x1
Ga 0.000 0.000 0.500 x3
Si 0.500 0.500 0.500 x1

=====

[7]
A plane-wave DFT calculation with GGA-PBE was carried out for a relaxed structure of BaCaPt.

Results
For the calculated formation energy, the calculation gives -0.647 eV/atom. As for the crystal system: triclinic.

Lattice parameters (Å, degrees): 4.695 6.217 8.168 101.97 90.05 112.18
Space group P-1 (No. 2)
Inequivalent atoms, fractional coordinates:
Ba 0.118 0.235 0.351 x2
Ca 0.361 0.722 0.093 x2
Pt 0.215 0.431 0.752 x2

=====

[8]
A plane-wave DFT calculation with GGA-PBE was carried out for a relaxed structure of TiHBr.

Results
As for the crystal system: monoclinic.

Lattice parameters (Å, degrees): 3.669 3.208 9.043 90.00 90.76 90.00
Space group P2_1/m (No. 11)
Inequivalent atoms, fractional coordinates:
Ti 0.222 0.250 0.100 x2
H 0.269 0.750 0.980 x2
Br 0.246 0.750 0.317 x2

=====

[9]
A plane-wave DFT calculation with GGA-PBE was carried out for a relaxed structure of Pa2AlPd.

Results
For the calculated formation energy, the calculation gives -0.304 eV/atom. As for the crystal system: tetragonal.

Lattice parameters (Å, degrees): 3.124 3.124 8.635 90.00 90.00 90.00
Space group P4/mmm (No. 123)
Inequivalent atoms, fractional coordinates:
Pa 0.000 0.000 0.244 x2
Al 0.500 0.500 0.500 x1
Pd 0.500 0.500 0.000 x1

=====

[10]
A plane-wave DFT calculation with GGA-PBE was carried out for a relaxed structure of LaTe2WN.

Results
As for the crystal system: tetragonal. The energy relative to the elements, uncorrected comes out at 1183 meV per atom.

Lattice parameters (Å, degrees): 6.203 6.203 3.977 90.00 90.00 90.00
Space group P4/mmm (No. 123)
Inequivalent atoms, fractional coordinates:
La 0.000 0.000 0.000 x1
Te 0.000 0.500 0.000 x2
W 0.500 0.500 0.500 x1
N 0.000 0.000 0.500 x1

=====

[11]
A plane-wave DFT calculation with GGA-PBE was carried out for a relaxed structure of Ti4Al3V.

Results
For the calculated formation energy, the calculation gives 0.000 eV/atom. As for the crystal system: monoclinic.

Lattice parameters (Å, degrees): 22.716 2.824 4.221 90.00 91.14 90.00
Space group C2/m (No. 12)
Inequivalent atoms, fractional coordinates:
Ti 0.097 0.000 0.234 x4
Ti 0.216 0.000 0.248 x4
Al 0.000 0.500 0.000 x2
Al 0.157 0.500 0.741 x4
V 0.000 0.000 0.500 x2

=====

[12]
A plane-wave DFT calculation with GGA-PBE was carried out for a relaxed structure of Y4Te3Ru.

Results
As for the crystal system: orthorhombic. The energy relative to the elements, uncorrected comes out at -1050 meV per atom.

Lattice parameters (Å, degrees): 8.887 12.307 4.209 90.00 90.00 90.00
Space group Cmmm (No. 65)
Inequivalent atoms, fractional coordinates:
Y 0.000 0.218 0.000 x4
Y 0.219 0.000 0.500 x4
Te 0.000 0.500 0.000 x2
Te 0.250 0.250 0.500 x4
Ru 0.000 0.000 0.000 x2

=====

[13]
A plane-wave DFT calculation with GGA-PBE was carried out for a relaxed structure of TbDy2Ru2.

Results
For the calculated formation energy, the calculation gives -0.269 eV/atom. As for the crystal system: orthorhombic.

Lattice parameters (Å, degrees): 4.254 11.210 9.839 90.00 90.00 90.00
Space group Cmc2_1 (No. 36)
Inequivalent atoms, fractional coordinates:
Tb 0.000 0.147 0.000 x4
Dy 0.000 0.147 0.373 x4
Dy 0.000 0.406 0.186 x4
Ru 0.000 0.308 0.687 x4
Ru 0.000 0.499 0.936 x4

=====

Number 1: final energy -59.586 eV/cell. Number 2: final energy -205.680 eV/cell. Number 3: final energy -40.580 eV/cell. Number 4: final energy -11.490 eV/cell. Number 5: final energy -17.892 eV/cell. Number 6: final energy -11.145 eV/cell. Number 7: final energy -23.812 eV/cell. Number 8: final energy -29.723 eV/cell. Number 9: final energy -29.145 eV/cell. Number 10: final energy -26.577 eV/cell. Number 11: final energy -103.848 eV/cell. Number 12: final energy -105.915 eV/cell. Number 13: final energy -134.920 eV/cell.